First-principles (PBE-GGA) data for a geometry-optimized MgGaPb2 structure, as listed in the Alexandria database.

Output
symmetry	R-3m (166)
ΔH_f (0 K)	0.13	eV per atom
DOS at the Fermi energy	1.53	states/eV/cell
spin magnetization	0.0	μB per formula unit
energy above the lowest structure with this stoichiometry	0.1160	eV per atom
energy	-2.88	eV per atom

Unit cell a=3.383 b=3.383 c=11.524 alpha=81.56 beta=81.56 gamma=60.00
Element x y z (fractional)
Pb  0.908  0.908  0.275
Pb  0.092  0.092  0.725
Ga  0.500  0.500  0.500
Mg  0.000  0.000  0.000